Entry from Alexandria: a PBEsol-optimized structure of SrIr2 (SCAN).

Cell lengths 5.403, 5.403, 5.403 Å; angles 60.00, 60.00, 60.00 degrees
Fractional coordinates of all 6 atoms:
1 Sr 0.125 0.125 0.125
2 Sr 0.875 0.875 0.875
3 Ir 0.000 0.500 0.500
4 Ir 0.500 0.000 0.500
5 Ir 0.500 0.500 0.000
6 Ir 0.500 0.500 0.500

## Properties
crystal system	cubic
space group	No. 227


Entry from Alexandria: a PBEsol-optimized structure of Co3P2H8O12 (SCAN).

Cell lengths 10.426, 18.587, 4.895 Å; angles 90.00, 90.00, 90.00 degrees
Fractional coordinates of all 100 atoms:
1 Co 0.140 0.000 0.217
2 Co 0.140 0.500 0.217
3 Co 0.240 0.250 0.581
4 Co 0.260 0.750 0.081
5 Co 0.360 0.000 0.717
6 Co 0.360 0.500 0.717
7 Co 0.640 0.000 0.283
8 Co 0.640 0.500 0.283
9 Co 0.740 0.250 0.919
10 Co 0.760 0.750 0.419
11 Co 0.860 0.000 0.783
12 Co 0.860 0.500 0.783
13 P 0.107 0.097 0.745
14 P 0.107 0.403 0.745
15 P 0.393 0.597 0.245
16 P 0.393 0.903 0.245
17 P 0.607 0.097 0.755
18 P 0.607 0.403 0.755
19 P 0.893 0.597 0.255
20 P 0.893 0.903 0.255
21 H 0.016 0.750 0.283
22 H 0.102 0.750 0.547
23 H 0.106 0.638 0.956
24 H 0.106 0.862 0.956
25 H 0.111 0.209 0.146
26 H 0.111 0.291 0.146
27 H 0.209 0.647 0.716
28 H 0.209 0.853 0.716
29 H 0.291 0.147 0.216
30 H 0.291 0.353 0.216
31 H 0.389 0.709 0.646
32 H 0.389 0.791 0.646
33 H 0.394 0.138 0.456
34 H 0.394 0.362 0.456
35 H 0.398 0.250 0.047
36 H 0.484 0.250 0.783
37 H 0.516 0.750 0.217
38 H 0.602 0.750 0.953
39 H 0.606 0.638 0.544
40 H 0.606 0.862 0.544
41 H 0.611 0.209 0.354
42 H 0.611 0.291 0.354
43 H 0.709 0.647 0.784
44 H 0.709 0.853 0.784
45 H 0.791 0.147 0.284
46 H 0.791 0.353 0.284
47 H 0.889 0.709 0.854
48 H 0.889 0.791 0.854
49 H 0.894 0.138 0.044
50 H 0.894 0.362 0.044
51 H 0.898 0.250 0.453
52 H 0.984 0.250 0.717
53 O 0.024 0.577 0.123
54 O 0.024 0.923 0.123
55 O 0.105 0.250 0.276
56 O 0.106 0.750 0.346
57 O 0.108 0.082 0.438
58 O 0.108 0.418 0.438
59 O 0.141 0.175 0.816
60 O 0.141 0.325 0.816
61 O 0.161 0.674 0.854
62 O 0.161 0.826 0.854
63 O 0.209 0.045 0.888
64 O 0.209 0.455 0.888
65 O 0.291 0.545 0.388
66 O 0.291 0.955 0.388
67 O 0.339 0.174 0.354
68 O 0.339 0.326 0.354
69 O 0.359 0.675 0.316
70 O 0.359 0.825 0.316
71 O 0.392 0.582 0.938
72 O 0.392 0.918 0.938
73 O 0.394 0.250 0.846
74 O 0.395 0.750 0.776
75 O 0.476 0.077 0.623
76 O 0.476 0.423 0.623
77 O 0.524 0.577 0.377
78 O 0.524 0.923 0.377
79 O 0.605 0.250 0.224
80 O 0.606 0.750 0.154
81 O 0.608 0.082 0.062
82 O 0.608 0.418 0.062
83 O 0.641 0.175 0.684
84 O 0.641 0.325 0.684
85 O 0.661 0.674 0.646
86 O 0.661 0.826 0.646
87 O 0.709 0.045 0.612
88 O 0.709 0.455 0.612
89 O 0.791 0.545 0.112
90 O 0.791 0.955 0.112
91 O 0.839 0.174 0.146
92 O 0.839 0.326 0.146
93 O 0.859 0.675 0.184
94 O 0.859 0.825 0.184
95 O 0.892 0.582 0.562
96 O 0.892 0.918 0.562
97 O 0.894 0.250 0.654
98 O 0.895 0.750 0.724
99 O 0.976 0.077 0.877
100 O 0.976 0.423 0.877

## Properties
crystal system	orthorhombic
space group	No. 62


Values for E, eV per atom, ordered as above
-55.179 -8.520